ThAl2Ag6 | PBE | relaxed

Properties
* E: -33.3 eV for the cell shown
* space group: P4/mmm
* M_tot: 0.00 μB per cell
* formation energy: -0.146 eV per atom

```
ThAl2Ag6
1.0
4.347 0.000 0.000
0.000 4.347 0.000
0.000 0.000 9.338
Th Al Ag
1 2 6
direct
0.000 0.000 0.000
0.500 0.500 0.134
0.500 0.500 0.866
0.000 0.000 0.500
0.000 0.500 0.290
0.000 0.500 0.710
0.500 0.000 0.290
0.500 0.000 0.710
0.500 0.500 0.500
```